The following is a DFT calculation (SCAN) of a PBEsol-optimized structure of CaTcSe2.

Lattice parameters (Å, degrees): 3.848 3.848 6.341 107.66 107.66 90.00
Each line ends with the local moment (μB).
Element x y z (fractional)
Tc 0.500 0.500 0.000  3.49
Ca 0.250 0.750 0.500  0.02
Se 0.750 0.250 0.500  0.18
Se 0.000 0.000 0.000  0.11

Properties
- SG = I-4m2, No. 119
- ΔE_f (raw) (eV per atom) = -0.36
- spin magnetization (μB per atom) = 1.062
- distance to the lowest polymorph of the same formula (meV/atom) = 495


The following is a DFT calculation (SCAN) of a PBEsol-optimized structure of YMn2.

Lattice parameters (Å, degrees): 3.094 3.657 5.343 110.01 106.83 90.00
Each line ends with the local moment (μB).
Element x y z (fractional)
Y 0.500 0.500 0.000  -0.35
Mn 0.809 0.809 0.617  3.71
Mn 0.191 0.191 0.383  3.71

Properties
- SG = Immm, No. 71
- spin magnetization (μB per atom) = 2.400
- energy of formation from the pure elements (kJ/mol of formula units) = 19


The following is a DFT calculation (SCAN) of a PBEsol-optimized structure of Te6Mo3WS2.

Lattice parameters (Å, degrees): 3.395 3.395 27.183 90.00 90.00 120.00
Element x y z (fractional)
Te 0.333 0.667 0.307
Mo 0.333 0.667 0.499
W 0.000 0.000 0.760
Mo 0.000 0.000 0.239
S 0.000 0.000 0.054
Te 0.000 0.000 0.567
Mo 0.333 0.667 0.000
S 0.000 0.000 0.945
Te 0.333 0.667 0.828
Te 0.333 0.667 0.691
Te 0.000 0.000 0.431
Te 0.333 0.667 0.171

Properties
- SG = P3m1, No. 156
- ΔE_f (raw) (eV per atom) = -0.32
- spin magnetization (μB per atom) = 0.000